Density functional theory data (GGA-PBE) for crystalline CaTa2Rh2 at its relaxed geometry.

Unit cell a=4.6593 b=4.6593 c=9.7645 alpha=90.00 beta=90.00 gamma=90.00
Last column: nearest neighbours and their distance in Å.
Space group I4/mmm (No. 139)
Inequivalent atoms, fractional coordinates:
Ca 0.0000 0.0000 0.0000 [2 per cell]  8 Rh 3.37, 10 Ta 3.51-3.57
Ta 0.0000 0.0000 0.3598 [4 per cell]  4 Rh 2.56, 1 Ta 2.74
Rh 0.0000 0.5000 0.2500 [4 per cell]  4 Ta 2.56

Computed properties:
Volume = 212 Å³ per cell
ΔH_f (0 K) = 0.00 eV/atom
Spin magnetization = 0.000 μB/f.u.
ΔE to the lowest computed polymorph = 322 meV per atom